1.
Material: La4Cd5Rh2
Method: DFT, PBE
State: optimized geometry

Output
The calculation puts the formation energy from the elements at -0.493 eV/atom.

The structure in CIF format:
```
data_La4Cd5Rh2
_cell_length_a 7.9129
_cell_length_b 3.8545
_cell_length_c 9.8192
_cell_angle_alpha 90.00
_cell_angle_beta 94.23
_cell_angle_gamma 90.00
_symmetry_space_group_name_H-M 'P 1 2/m 1'
_symmetry_Int_Tables_number 10
loop_
_symmetry_equiv_pos_as_xyz
'x,y,z'
'-x,-y,-z'
'-x,y,-z'
'x,-y,z'
loop_
_atom_site_label
_atom_site_type_symbol
_atom_site_fract_x
_atom_site_fract_y
_atom_site_fract_z
La1 La 0.1700 0.0000 0.3468
La2 La 0.2206 0.0000 0.9469
Cd1 Cd 0.1889 0.5000 0.6517
Cd2 Cd 0.4542 0.5000 0.1802
Cd3 Cd 0.5000 0.5000 0.5000
Rh1 Rh 0.0746 0.5000 0.1458
```

2.
Material: La6CdRh
Method: DFT, PBE
State: optimized geometry

Output
The calculation puts the formation energy from the elements at -0.165 eV/atom.

The structure in CIF format:
```
data_La6CdRh
_cell_length_a 8.3353
_cell_length_b 10.3924
_cell_length_c 6.6139
_cell_angle_alpha 90.00
_cell_angle_beta 106.23
_cell_angle_gamma 90.00
_symmetry_space_group_name_H-M 'C 1 2/m 1'
_symmetry_Int_Tables_number 12
loop_
_symmetry_equiv_pos_as_xyz
'x,y,z'
'-x,-y,-z'
'-x,y,-z'
'x,-y,z'
'x+1/2,y+1/2,z'
'-x+1/2,-y+1/2,-z'
'-x+1/2,y+1/2,-z'
'x+1/2,-y+1/2,z'
loop_
_atom_site_label
_atom_site_type_symbol
_atom_site_fract_x
_atom_site_fract_y
_atom_site_fract_z
La1 La 0.1080 0.1983 0.2936
La2 La 0.2058 0.5000 0.1108
Cd1 Cd 0.0000 0.5000 0.5000
Rh1 Rh 0.0000 0.0000 0.0000
```

3.
Material: LaCdRh2
Method: DFT, PBE
State: optimized geometry

Output
The calculation puts the formation energy from the elements at -0.514 eV/atom.

The structure in CIF format:
```
data_LaCdRh2
_cell_length_a 4.5582
_cell_length_b 4.5582
_cell_length_c 3.7349
_cell_angle_alpha 90.00
_cell_angle_beta 90.00
_cell_angle_gamma 90.00
_symmetry_space_group_name_H-M 'P 4/m m m'
_symmetry_Int_Tables_number 123
_symmetry_space_group_name_Hall '-P 4 2'
loop_
_atom_site_label
_atom_site_type_symbol
_atom_site_fract_x
_atom_site_fract_y
_atom_site_fract_z
La1 La 0.0000 0.0000 0.0000
Cd1 Cd 0.5000 0.5000 0.0000
Rh1 Rh 0.0000 0.5000 0.5000
```

What are the DOS at the Fermi energy values for these records? In order: 7.1; 25.4; 2.6 states/eV per cell.
What are the magnetic moment values for these records? In order: 0.0; 0.0; 0.0 μB per formula unit.